No. 1
VASP calculation (GGA-PBE) on a relaxed structure of TaCdW2.

For the uncorrected energy, the calculation gives -9.2174 eV/atom. As for the formation energy: 0.451 eV per atom. Its crystal system is orthorhombic. As for the space group: Pmmm, No. 47. The density of states at the Fermi level comes out at 2.949 states/eV/f.u.

a b c (Å): 3.5758 4.3802 4.4285
angles (deg): 90.00 90.00 90.00
Sites, in units of the cell vectors:
Ta1 0.0000 0.0000 0.0000
Cd1 0.5000 0.5000 0.0000
W1 0.0000 0.5000 0.5000
W2 0.5000 0.0000 0.5000

No. 2
VASP calculation (GGA-PBE) on a relaxed structure of TaCdW2.

For the uncorrected energy, the calculation gives -9.3261 eV/atom. As for the formation energy: 0.342 eV per atom. Its crystal system is tetragonal. As for the space group: P4mm, No. 99. The density of states at the Fermi level comes out at 2.783 states/eV/f.u.

a b c (Å): 3.2784 3.2784 6.6201
angles (deg): 90.00 90.00 90.00
Sites, in units of the cell vectors:
Ta1 0.0000 0.0000 0.0000
Cd1 0.5000 0.5000 0.7170
W1 0.0000 0.0000 0.4439
W2 0.5000 0.5000 0.2300

No. 3
VASP calculation (GGA-PBE) on a relaxed structure of TaCdW2.

For the uncorrected energy, the calculation gives -9.2258 eV/atom. As for the formation energy: 0.443 eV per atom. Its crystal system is orthorhombic. As for the space group: Pmm2, No. 25. The density of states at the Fermi level comes out at 2.987 states/eV/f.u.

a b c (Å): 2.7321 4.4279 5.8121
angles (deg): 90.00 90.00 90.00
Sites, in units of the cell vectors:
Ta1 0.0000 0.0000 0.0000
Cd1 0.5000 0.5000 0.7431
W1 0.0000 0.0000 0.4791
W2 0.5000 0.5000 0.2497

No. 4
VASP calculation (GGA-PBE) on a relaxed structure of Ta2CdW.

For the uncorrected energy, the calculation gives -9.0458 eV/atom. As for the formation energy: 0.348 eV per atom. Its crystal system is orthorhombic. As for the space group: Cmmm, No. 65. The density of states at the Fermi level comes out at 3.501 states/eV/f.u.

a b c (Å): 5.2305 5.2305 2.8342
angles (deg): 90.00 90.00 111.49
Sites, in units of the cell vectors:
Ta1 0.0000 0.5000 0.0000
Ta2 0.5000 0.0000 0.0000
Cd1 0.0000 0.0000 0.5000
W1 0.5000 0.5000 0.5000

No. 5
VASP calculation (GGA-PBE) on a relaxed structure of TaCd2W.

For the uncorrected energy, the calculation gives -6.1629 eV/atom. As for the formation energy: 0.496 eV per atom. Its polymorph energy (0 for the lowest one) is 1.012 eV/f.u. Its crystal system is tetragonal. As for the space group: P4/mmm, No. 123. The density of states at the Fermi level comes out at 1.109 states/eV/f.u.

a b c (Å): 2.8114 2.8114 9.3045
angles (deg): 90.00 90.00 90.00
Sites, in units of the cell vectors:
Ta1 0.0000 0.0000 0.0000
Cd1 0.5000 0.5000 0.2542
Cd2 0.5000 0.5000 0.7458
W1 0.0000 0.0000 0.5000

No. 6
VASP calculation (GGA-PBE) on a relaxed structure of Ta2CdW.

For the uncorrected energy, the calculation gives -9.0712 eV/atom. As for the formation energy: 0.322 eV per atom. Its crystal system is tetragonal. As for the space group: P4mm, No. 99. The density of states at the Fermi level comes out at 3.093 states/eV/f.u.

a b c (Å): 2.7846 2.7846 9.4281
angles (deg): 90.00 90.00 90.00
Sites, in units of the cell vectors:
Ta1 0.0000 0.0000 0.0000
Ta2 0.5000 0.5000 0.2468
Cd1 0.5000 0.5000 0.7417
W1 0.0000 0.0000 0.4936

No. 7
VASP calculation (GGA-PBE) on a relaxed structure of TaCd3W.

For the uncorrected energy, the calculation gives -3.4180 eV/atom. As for the formation energy: 2.092 eV per atom. Its polymorph energy (0 for the lowest one) is 0.000 eV/f.u. Its crystal system is cubic. As for the space group: Pm-3m, No. 221. The density of states at the Fermi level comes out at 6.941 states/eV/f.u.

a b c (Å): 5.1017 5.1017 5.1017
angles (deg): 90.00 90.00 90.00
Sites, in units of the cell vectors:
Ta1 0.0000 0.0000 0.0000
Cd1 0.0000 0.5000 0.5000
Cd2 0.5000 0.0000 0.5000
Cd3 0.5000 0.5000 0.0000
W1 0.5000 0.5000 0.5000

No. 8
VASP calculation (GGA-PBE) on a relaxed structure of TaCdW2.

For the uncorrected energy, the calculation gives -9.1494 eV/atom. As for the formation energy: 0.519 eV per atom. Its crystal system is cubic. As for the space group: F-43m, No. 216. The density of states at the Fermi level comes out at 4.141 states/eV/f.u.

a b c (Å): 4.6244 4.6244 4.6244
angles (deg): 60.00 60.00 60.00
Sites, in units of the cell vectors:
Ta1 0.0000 0.0000 0.0000
Cd1 0.7500 0.7500 0.7500
W1 0.2500 0.2500 0.2500
W2 0.5000 0.5000 0.5000

No. 9
VASP calculation (GGA-PBE) on a relaxed structure of TaCd2W.

For the uncorrected energy, the calculation gives -6.1950 eV/atom. As for the formation energy: 0.464 eV per atom. Its polymorph energy (0 for the lowest one) is 0.884 eV/f.u. Its crystal system is monoclinic. As for the space group: P2/m, No. 10. The density of states at the Fermi level comes out at 1.381 states/eV/f.u.

a b c (Å): 2.8067 4.7140 5.6233
angles (deg): 90.00 98.72 90.00
Sites, in units of the cell vectors:
Ta1 0.0000 0.0000 0.0000
Cd1 0.4851 0.5000 0.7471
Cd2 0.5149 0.5000 0.2529
W1 0.0000 0.0000 0.5000

No. 10
VASP calculation (GGA-PBE) on a relaxed structure of Ta2CdW.

For the uncorrected energy, the calculation gives -9.1073 eV/atom. As for the formation energy: 0.286 eV per atom. Its crystal system is monoclinic. As for the space group: Pm, No. 6. The density of states at the Fermi level comes out at 3.717 states/eV/f.u.

a b c (Å): 2.7881 4.7555 5.5365
angles (deg): 90.00 98.77 90.00
Sites, in units of the cell vectors:
Ta1 0.0000 0.0000 0.0000
Ta2 0.2611 0.5000 0.7511
Cd1 0.5428 0.0000 0.4943
W1 0.7480 0.5000 0.2212

No. 11
VASP calculation (GGA-PBE) on a relaxed structure of TaCdW2.

For the uncorrected energy, the calculation gives -9.2973 eV/atom. As for the formation energy: 0.371 eV per atom. Its crystal system is monoclinic. As for the space group: P2/m, No. 10. The density of states at the Fermi level comes out at 2.990 states/eV/f.u.

a b c (Å): 2.7558 4.6827 5.5224
angles (deg): 90.00 99.68 90.00
Sites, in units of the cell vectors:
Ta1 0.0000 0.0000 0.0000
Cd1 0.5000 0.0000 0.5000
W1 0.2671 0.5000 0.7657
W2 0.7329 0.5000 0.2343

No. 12
VASP calculation (GGA-PBE) on a relaxed structure of TaCd4W.

For the uncorrected energy, the calculation gives -4.0686 eV/atom. As for the formation energy: 0.676 eV per atom. Its crystal system is cubic. As for the space group: F-43m, No. 216. The density of states at the Fermi level comes out at 3.772 states/eV/f.u.

a b c (Å): 5.4379 5.4379 5.4379
angles (deg): 60.00 60.00 60.00
Sites, in units of the cell vectors:
Ta1 0.0000 0.0000 0.0000
Cd1 0.3752 0.3752 0.3752
Cd2 0.3752 0.3752 0.8744
Cd3 0.3752 0.8744 0.3752
Cd4 0.8744 0.3752 0.3752
W1 0.7500 0.7500 0.7500